Record 1
# Tl2Rh2Pb, relaxed, DFT PBE
# SG	I4/mmm
# spin magnetization	0.00	μB per cell
# calculated formation energy	0.27	eV/atom
data_Tl2Rh2Pb
_cell_length_a 4.4618
_cell_length_b 4.4618
_cell_length_c 6.5976
_cell_angle_alpha 70.24
_cell_angle_beta 70.24
_cell_angle_gamma 90.00
_symmetry_space_group_name_H-M 'P 1'
_symmetry_Int_Tables_number 1
_symmetry_space_group_name_Hall 'P 1'
loop_
_atom_site_label
_atom_site_fract_x
_atom_site_fract_y
_atom_site_fract_z
_atom_site_occupancy
Rh1 0.6083 0.6083 0.7834 1
Rh2 0.3917 0.3917 0.2166 1
Tl1 0.2500 0.7500 0.5000 1
Tl2 0.7500 0.2500 0.5000 1
Pb1 0.0000 0.0000 0.0000 1

***

Record 2
# Li2RhF6, relaxed, DFT PBE
# SG	P4_2/mnm
# spin magnetization	2.03	μB per cell
# raw formation energy	-211.6	kJ/mol of atoms
data_Li2RhF6
_cell_length_a 4.7106
_cell_length_b 4.7106
_cell_length_c 9.2412
_cell_angle_alpha 90.00
_cell_angle_beta 90.00
_cell_angle_gamma 90.00
_symmetry_space_group_name_H-M 'P 1'
_symmetry_Int_Tables_number 1
_symmetry_space_group_name_Hall 'P 1'
loop_
_atom_site_label
_atom_site_fract_x
_atom_site_fract_y
_atom_site_fract_z
_atom_site_occupancy
F1 0.2908 0.2908 0.0000 1
F2 0.8054 0.1946 0.8407 1
F3 0.7908 0.2092 0.5000 1
F4 0.7092 0.7092 0.0000 1
F5 0.1946 0.8054 0.8407 1
F6 0.1946 0.8054 0.1593 1
F7 0.8054 0.1946 0.1593 1
F8 0.6946 0.6946 0.6593 1
F9 0.3054 0.3054 0.6593 1
F10 0.6946 0.6946 0.3407 1
F11 0.3054 0.3054 0.3407 1
F12 0.2092 0.7908 0.5000 1
Rh1 0.5000 0.5000 0.5000 1
Rh2 0.0000 0.0000 0.0000 1
Li1 0.0000 0.0000 0.3341 1
Li2 0.0000 0.0000 0.6659 1
Li3 0.5000 0.5000 0.1659 1
Li4 0.5000 0.5000 0.8341 1

***

Record 3
# SbAs2Br, relaxed, DFT PBE
# SG	Pm
# spin magnetization	0.00	μB per cell
# raw formation energy	4.8	kJ/mol of atoms
data_SbAs2Br
_cell_length_a 4.9235
_cell_length_b 4.2489
_cell_length_c 5.5416
_cell_angle_alpha 68.26
_cell_angle_beta 90.00
_cell_angle_gamma 90.00
_symmetry_space_group_name_H-M 'P 1'
_symmetry_Int_Tables_number 1
_symmetry_space_group_name_Hall 'P 1'
loop_
_atom_site_label
_atom_site_fract_x
_atom_site_fract_y
_atom_site_fract_z
_atom_site_occupancy
As1 0.0000 0.0045 0.0284 1
As2 0.5000 0.1712 0.1526 1
Sb1 0.5000 0.8270 0.8133 1
Br1 0.0000 0.4973 0.5057 1

***

Record 4
# SrErCdGe, relaxed, DFT PBE
# SG	F-43m
# spin magnetization	0.00	μB per cell
# calculated formation energy	-0.36	eV/atom
data_SrErCdGe
_cell_length_a 5.3247
_cell_length_b 5.3247
_cell_length_c 5.3247
_cell_angle_alpha 60.00
_cell_angle_beta 60.00
_cell_angle_gamma 60.00
_symmetry_space_group_name_H-M 'P 1'
_symmetry_Int_Tables_number 1
_symmetry_space_group_name_Hall 'P 1'
loop_
_atom_site_label
_atom_site_fract_x
_atom_site_fract_y
_atom_site_fract_z
_atom_site_occupancy
Er1 0.0000 0.0000 0.0000 1
Sr1 0.5000 0.5000 0.5000 1
Cd1 0.7500 0.7500 0.7500 1
Ge1 0.2500 0.2500 0.2500 1

***

Record 5
# LaMoRu2, relaxed, DFT PBE
# SG	Pmm2
# spin magnetization	0.00	μB per cell
# calculated formation energy	0.35	eV/atom
data_LaMoRu2
_cell_length_a 2.8901
_cell_length_b 3.7927
_cell_length_c 6.9688
_cell_angle_alpha 90.00
_cell_angle_beta 90.00
_cell_angle_gamma 90.00
_symmetry_space_group_name_H-M 'P 1'
_symmetry_Int_Tables_number 1
_symmetry_space_group_name_Hall 'P 1'
loop_
_atom_site_label
_atom_site_fract_x
_atom_site_fract_y
_atom_site_fract_z
_atom_site_occupancy
Ru1 0.5000 0.5000 0.1915 1
Ru2 0.0000 0.0000 0.9949 1
Mo1 0.5000 0.5000 0.8316 1
La1 0.0000 0.0000 0.4821 1

***

Record 6
# Y2Sc2CS2, relaxed, DFT PBE
# SG	P-1
# spin magnetization	0.00	μB per cell
# raw formation energy	-110.5	kJ/mol of atoms
data_Y2Sc2CS2
_cell_length_a 3.5733
_cell_length_b 6.5655
_cell_length_c 6.8488
_cell_angle_alpha 64.36
_cell_angle_beta 90.05
_cell_angle_gamma 74.30
_symmetry_space_group_name_H-M 'P 1'
_symmetry_Int_Tables_number 1
_symmetry_space_group_name_Hall 'P 1'
loop_
_atom_site_label
_atom_site_fract_x
_atom_site_fract_y
_atom_site_fract_z
_atom_site_occupancy
Y1 0.4727 0.0560 0.2187 1
Y2 0.5273 0.9440 0.7813 1
Sc1 0.1979 0.6033 0.2400 1
Sc2 0.8021 0.3967 0.7600 1
S1 0.1379 0.7254 0.5599 1
S2 0.8621 0.2746 0.4401 1
C1 0.0000 0.0000 0.0000 1

***

Record 7
# Rb6Sn3Cl14, relaxed, DFT PBE
# SG	P3
# spin magnetization	0.00	μB per cell
# raw formation energy	-145.3	kJ/mol of atoms
data_Rb6Sn3Cl14
_cell_length_a 8.1365
_cell_length_b 11.4724
_cell_length_c 11.4724
_cell_angle_alpha 120.00
_cell_angle_beta 90.00
_cell_angle_gamma 90.00
_symmetry_space_group_name_H-M 'P 1'
_symmetry_Int_Tables_number 1
_symmetry_space_group_name_Hall 'P 1'
loop_
_atom_site_label
_atom_site_fract_x
_atom_site_fract_y
_atom_site_fract_z
_atom_site_occupancy
Cl1 0.2961 0.8675 0.3988 1
Cl2 0.6462 0.4652 0.2640 1
Cl3 0.2961 0.6012 0.4687 1
Cl4 0.9327 0.3333 0.6667 1
Cl5 0.4879 0.5511 0.8139 1
Cl6 0.9952 0.7823 0.8348 1
Cl7 0.9952 0.1652 0.9475 1
Cl8 0.4533 0.0000 0.0000 1
Cl9 0.6462 0.7988 0.5348 1
Cl10 0.4879 0.1861 0.7373 1
Cl11 0.6462 0.7360 0.2012 1
Cl12 0.4879 0.2627 0.4489 1
Cl13 0.9952 0.0525 0.2177 1
Cl14 0.2961 0.5313 0.1325 1
Sn1 0.4696 0.6667 0.3333 1
Sn2 0.8273 0.0000 0.0000 1
Sn3 0.3163 0.3333 0.6667 1
Rb1 0.2721 0.9321 0.7277 1
Rb2 0.7505 0.4115 0.9467 1
Rb3 0.2721 0.2723 0.2044 1
Rb4 0.7505 0.5351 0.5885 1
Rb5 0.2721 0.7956 0.0679 1
Rb6 0.7505 0.0533 0.4649 1

***

Record 8
# PmIn2SeO8, relaxed, DFT PBE
# SG	P2/m
# spin magnetization	0.97	μB per cell
# raw formation energy	-133.5	kJ/mol of atoms
data_PmIn2SeO8
_cell_length_a 4.8302
_cell_length_b 4.8345
_cell_length_c 6.7835
_cell_angle_alpha 90.00
_cell_angle_beta 90.00
_cell_angle_gamma 89.60
_symmetry_space_group_name_H-M 'P 1'
_symmetry_Int_Tables_number 1
_symmetry_space_group_name_Hall 'P 1'
loop_
_atom_site_label
_atom_site_fract_x
_atom_site_fract_y
_atom_site_fract_z
_atom_site_occupancy
O1 0.7259 0.7272 0.0000 1
O2 0.3261 0.3234 0.5000 1
O3 0.1797 0.8194 0.8013 1
O4 0.8203 0.1806 0.8013 1
O5 0.6739 0.6766 0.5000 1
O6 0.2741 0.2728 0.0000 1
O7 0.8203 0.1806 0.1987 1
O8 0.1797 0.8194 0.1987 1
Se1 0.0000 0.0000 0.0000 1
Pm1 0.0000 0.0000 0.5000 1
In1 0.5000 0.5000 0.7662 1
In2 0.5000 0.5000 0.2338 1

***

Record 9
# Ac6P5, relaxed, DFT PBE
# SG	C2/m
# spin magnetization	0.97	μB per cell
# calculated formation energy	-1.33	eV/atom
data_Ac6P5
_cell_length_a 7.6628
_cell_length_b 7.6602
_cell_length_c 7.6559
_cell_angle_alpha 120.02
_cell_angle_beta 99.64
_cell_angle_gamma 70.45
_symmetry_space_group_name_H-M 'P 1'
_symmetry_Int_Tables_number 1
_symmetry_space_group_name_Hall 'P 1'
loop_
_atom_site_label
_atom_site_fract_x
_atom_site_fract_y
_atom_site_fract_z
_atom_site_occupancy
Ac1 0.7453 0.4301 0.3452 1
Ac2 0.2585 0.2595 0.0000 1
Ac3 0.2547 0.9151 0.3452 1
Ac4 0.7453 0.0849 0.6548 1
Ac5 0.2547 0.5699 0.6548 1
Ac6 0.7415 0.7405 0.0000 1
P1 0.0000 0.3337 0.6673 1
P2 0.5000 0.1666 0.3331 1
P3 0.0000 0.6663 0.3327 1
P4 0.5000 0.5000 0.0000 1
P5 0.5000 0.8334 0.6669 1

***

Record 10
# Ta2GaPd2, relaxed, DFT PBE
# SG	P4/mbm
# spin magnetization	0.00	μB per cell
# calculated formation energy	-0.08	eV/atom
data_Ta2GaPd2
_cell_length_a 7.6534
_cell_length_b 7.6534
_cell_length_c 2.9536
_cell_angle_alpha 90.00
_cell_angle_beta 90.00
_cell_angle_gamma 90.00
_symmetry_space_group_name_H-M 'P 1'
_symmetry_Int_Tables_number 1
_symmetry_space_group_name_Hall 'P 1'
loop_
_atom_site_label
_atom_site_fract_x
_atom_site_fract_y
_atom_site_fract_z
_atom_site_occupancy
Pd1 0.6253 0.1253 0.0000 1
Pd2 0.3747 0.8747 0.0000 1
Pd3 0.1253 0.3747 0.0000 1
Pd4 0.8747 0.6253 0.0000 1
Ta1 0.6716 0.8284 0.5000 1
Ta2 0.1716 0.6716 0.5000 1
Ta3 0.3284 0.1716 0.5000 1
Ta4 0.8284 0.3284 0.5000 1
Ga1 0.0000 0.0000 0.0000 1
Ga2 0.5000 0.5000 0.0000 1

***

Record 11
# TaBeTlOs2, relaxed, DFT PBE
# SG	P4/mmm
# spin magnetization	0.00	μB per cell
# calculated formation energy	3.22	eV/atom
data_TaBeTlOs2
_cell_length_a 4.9037
_cell_length_b 4.9985
_cell_length_c 4.9037
_cell_angle_alpha 90.00
_cell_angle_beta 90.00
_cell_angle_gamma 90.00
_symmetry_space_group_name_H-M 'P 1'
_symmetry_Int_Tables_number 1
_symmetry_space_group_name_Hall 'P 1'
loop_
_atom_site_label
_atom_site_fract_x
_atom_site_fract_y
_atom_site_fract_z
_atom_site_occupancy
Os1 0.0000 0.0000 0.5000 1
Os2 0.5000 0.0000 0.0000 1
Be1 0.5000 0.5000 0.5000 1
Tl1 0.0000 0.0000 0.0000 1
Ta1 0.0000 0.5000 0.0000 1

***

Record 12
# BeIn, relaxed, DFT PBE
# SG	I4/mcm
# spin magnetization	0.00	μB per cell
# calculated formation energy	0.73	eV/atom
data_BeIn
_cell_length_a 8.6937
_cell_length_b 8.6937
_cell_length_c 5.1179
_cell_angle_alpha 90.00
_cell_angle_beta 90.00
_cell_angle_gamma 90.00
_symmetry_space_group_name_H-M 'P 1'
_symmetry_Int_Tables_number 1
_symmetry_space_group_name_Hall 'P 1'
loop_
_atom_site_label
_atom_site_fract_x
_atom_site_fract_y
_atom_site_fract_z
_atom_site_occupancy
Be1 0.3276 0.1724 0.5000 1
Be2 0.6724 0.1724 0.0000 1
Be3 0.1724 0.3276 0.0000 1
Be4 0.1724 0.6724 0.5000 1
Be5 0.3276 0.8276 0.0000 1
Be6 0.8276 0.6724 0.0000 1
Be7 0.8276 0.3276 0.5000 1
Be8 0.6724 0.8276 0.5000 1
In1 0.1272 0.3728 0.5000 1
In2 0.8728 0.3728 0.0000 1
In3 0.3728 0.8728 0.5000 1
In4 0.3728 0.1272 0.0000 1
In5 0.1272 0.6272 0.0000 1
In6 0.6272 0.1272 0.5000 1
In7 0.6272 0.8728 0.0000 1
In8 0.8728 0.6272 0.5000 1